## K2LaB2 (GGA-PBE)

Data for a relaxed structure of K2LaB2.

Lattice parameters (Å, degrees): 8.415 8.415 3.350 90.00 90.00 90.00
Last column: magnetic moment on the atom in μB.
Element x y z (fractional)
1 K 0.380 0.880 0.000  0.00
2 K 0.880 0.620 0.000  0.00
3 K 0.620 0.120 0.000  0.00
4 K 0.120 0.380 0.000  0.00
5 B 0.187 0.687 0.500  -0.01
6 B 0.687 0.813 0.500  0.00
7 B 0.813 0.313 0.500  -0.01
8 B 0.313 0.187 0.500  0.00
9 La 0.000 0.000 0.000  0.11
10 La 0.500 0.500 0.000  0.11

Properties
- Excess energy over the best structure of this formula in the dataset: 0 meV/atom
- Spin magnetization: 0.17 μB per formula unit
- Space group: P4/mbm, No. 127
- Volume: 23.722 Å³/atom

## Sr3CaCl (GGA-PBE)

Data for a relaxed structure of Sr3CaCl.

Lattice parameters (Å, degrees): 6.081 6.081 6.081 90.00 90.00 90.00
Element x y z (fractional)
1 Sr 0.000 0.500 0.000
2 Sr 0.000 0.000 0.500
3 Sr 0.500 0.000 0.000
4 Ca 0.500 0.500 0.500
5 Cl 0.000 0.000 0.000

Properties
- Excess energy over the best structure of this formula in the dataset: 0 meV/atom
- Spin magnetization: 0.00 μB per formula unit
- Space group: Pm-3m, No. 221
- Volume: 44.978 Å³/atom
- Formation energy from raw total energies: -13.46 kcal/mol of atoms

## ErGa3CuNi (GGA-PBE)

Data for a relaxed structure of ErGa3CuNi.

Lattice parameters (Å, degrees): 5.666 6.196 6.672 117.67 90.00 90.00
Element x y z (fractional)
1 Er 0.750 0.286 0.571
2 Er 0.250 0.714 0.429
3 Ga 0.250 0.159 0.318
4 Ga 0.000 0.296 0.000
5 Ga 0.500 0.704 0.000
6 Ga 0.500 0.296 0.000
7 Ga 0.000 0.704 0.000
8 Ga 0.750 0.841 0.682
9 Cu 0.250 0.942 0.883
10 Cu 0.750 0.058 0.117
11 Ni 0.250 0.361 0.722
12 Ni 0.750 0.639 0.278

Properties
- Spin magnetization: 0.00 μB per formula unit
- Space group: Cmcm, No. 63
- Volume: 17.288 Å³/atom
- Energy: -24.90 eV/f.u.

## LaBeInSn2 (GGA-PBE)

Data for a relaxed structure of LaBeInSn2.

Lattice parameters (Å, degrees): 5.721 4.487 5.721 90.00 90.00 90.00
Element x y z (fractional)
1 Be 0.000 0.500 0.000
2 In 0.000 0.000 0.000
3 Sn 0.000 0.000 0.500
4 Sn 0.500 0.000 0.000
5 La 0.500 0.500 0.500

Properties
- Spin magnetization: 0.00 μB per formula unit
- Space group: P4/mmm, No. 123
- Volume: 29.374 Å³/atom
- Energy: -17.88 eV/f.u.

## ZnSi3Tc (GGA-PBE)

Data for a relaxed structure of ZnSi3Tc.

Lattice parameters (Å, degrees): 4.680 4.680 4.680 90.00 90.00 90.00
Element x y z (fractional)
1 Zn 0.500 0.500 0.500
2 Si 0.000 0.500 0.000
3 Si 0.000 0.000 0.500
4 Si 0.500 0.000 0.000
5 Tc 0.000 0.000 0.000

Properties
- Excess energy over the best structure of this formula in the dataset: 0 meV/atom
- Spin magnetization: 0.00 μB per formula unit
- Space group: Pm-3m, No. 221
- Volume: 20.495 Å³/atom
- Formation energy from raw total energies: 9.93 kcal/mol of atoms

## HfTlRu2Cl (GGA-PBE)

Data for a relaxed structure of HfTlRu2Cl.

Lattice parameters (Å, degrees): 5.021 5.061 5.021 90.00 90.00 90.00
Last column: magnetic moment on the atom in μB.
Element x y z (fractional)
1 Ru 0.000 0.000 0.500  1.48
2 Ru 0.500 0.000 0.000  1.10
3 Tl 0.000 0.000 0.000  -0.01
4 Hf 0.500 0.500 0.500  -0.56
5 Cl 0.000 0.500 0.000  0.02

Properties
- Spin magnetization: 1.87 μB per formula unit
- Space group: P4/mmm, No. 123
- Volume: 25.516 Å³/atom
- Formation energy from raw total energies: 40.85 kcal/mol of atoms

## Pa3Ni3Sn4 (GGA-PBE)

Data for a relaxed structure of Pa3Ni3Sn4.

Lattice parameters (Å, degrees): 8.172 8.172 8.172 109.47 109.47 109.47
Element x y z (fractional)
1 Pa 0.625 0.750 0.875
2 Pa 0.875 0.250 0.625
3 Pa 0.125 0.375 0.250
4 Pa 0.375 0.125 0.750
5 Pa 0.250 0.875 0.125
6 Pa 0.750 0.625 0.375
7 Ni 0.125 0.750 0.375
8 Ni 0.375 0.250 0.125
9 Ni 0.625 0.875 0.250
10 Ni 0.875 0.625 0.750
11 Ni 0.250 0.375 0.625
12 Ni 0.750 0.125 0.875
13 Sn 0.000 0.000 0.334
14 Sn 0.500 0.334 0.500
15 Sn 0.666 0.166 0.166
16 Sn 0.000 0.000 0.834
17 Sn 0.834 0.500 0.000
18 Sn 0.500 0.834 0.500
19 Sn 0.334 0.500 0.000
20 Sn 0.166 0.666 0.666

Properties
- Spin magnetization: 0.00 μB per formula unit
- Space group: I-43d, No. 220
- Volume: 21.004 Å³/atom
- Energy: -66.89 eV/f.u.

## RbHgBiPd (GGA-PBE)

Data for a relaxed structure of RbHgBiPd.

Lattice parameters (Å, degrees): 4.889 4.889 7.105 69.88 69.88 60.00
Element x y z (fractional)
1 Rb 0.808 0.808 0.576
2 Hg 0.007 0.007 0.980
3 Bi 0.276 0.276 0.173
4 Pd 0.636 0.636 0.093

Properties
- Spin magnetization: 0.00 μB per formula unit
- Space group: R3m, No. 160
- Volume: 33.741 Å³/atom
- Energy: -11.20 eV/f.u.

## Rb (GGA-PBE)

Data for a relaxed structure of Rb.

Lattice parameters (Å, degrees): 7.956 7.956 9.174 90.00 90.00 120.00
Element x y z (fractional)
1 Rb 0.333 0.667 0.000
2 Rb 0.667 0.333 0.500
3 Rb 0.667 0.333 0.000
4 Rb 0.333 0.667 0.500

Properties
- Excess energy over the best structure of this formula in the dataset: 198 meV/atom
- Spin magnetization: 0.00 μB per formula unit
- Space group: P6_3/mmc, No. 194
- Volume: 125.731 Å³/atom

## Ba2LuAu (GGA-PBE)

Data for a relaxed structure of Ba2LuAu.

Lattice parameters (Å, degrees): 4.005 4.005 12.124 80.49 80.49 60.00
Element x y z (fractional)
1 Lu 0.000 0.000 0.000
2 Au 0.500 0.500 0.500
3 Ba 0.103 0.103 0.692
4 Ba 0.897 0.897 0.308

Properties
- Spin magnetization: 0.00 μB per formula unit
- Space group: R-3m, No. 166
- Volume: 41.329 Å³/atom
- Energy: -11.20 eV/f.u.

## TaCo2Au (GGA-PBE)

Data for a relaxed structure of TaCo2Au.

Lattice parameters (Å, degrees): 5.140 5.140 2.727 76.31 76.31 115.17
Last column: magnetic moment on the atom in μB.
Element x y z (fractional)
1 Au 0.000 0.500 0.500  -0.03
2 Co 0.000 0.000 0.000  1.17
3 Co 0.500 0.500 0.000  1.17
4 Ta 0.500 0.000 0.500  -0.16

Properties
- Excess energy over the best structure of this formula in the dataset: 349 meV/atom
- Spin magnetization: 2.02 μB per formula unit
- Space group: C2/m, No. 12
- Volume: 14.624 Å³/atom

## YIrRu2 (GGA-PBE)

Data for a relaxed structure of YIrRu2.

Lattice parameters (Å, degrees): 4.949 4.949 4.987 78.79 78.79 34.37
Element x y z (fractional)
1 Ir 0.261 0.261 0.215
2 Ru 0.001 0.001 0.992
3 Ru 0.737 0.737 0.795
4 Y 0.500 0.500 0.497

Properties
- Excess energy over the best structure of this formula in the dataset: 25 meV/atom
- Spin magnetization: 0.00 μB per formula unit
- Space group: Cm, No. 8
- Volume: 16.875 Å³/atom

What is the volume in the first record?
23.722 Å³/atom

What did the second record say?
## Sr3CaCl (GGA-PBE)

Data for a relaxed structure of Sr3CaCl.

Lattice parameters (Å, degrees): 6.081 6.081 6.081 90.00 90.00 90.00
Element x y z (fractional)
1 Sr 0.000 0.500 0.000
2 Sr 0.000 0.000 0.500
3 Sr 0.500 0.000 0.000
4 Ca 0.500 0.500 0.500
5 Cl 0.000 0.000 0.000

Properties
- Excess energy over the best structure of this formula in the dataset: 0 meV/atom
- Spin magnetization: 0.00 μB per formula unit
- Space group: Pm-3m, No. 221
- Volume: 44.978 Å³/atom
- Formation energy from raw total energies: -13.46 kcal/mol of atoms

Look up the volume of the fifth one.
20.495 Å³/atom

Which value of volume does entry 4 give?
29.374 Å³/atom